VASP calculation (GGA-PBE) on a relaxed RbUBeS4 crystal.

Lattice parameters (Å, degrees): 6.1313 6.3699 9.1011 90.00 109.46 90.00
Space group P2_1/m (No. 11)
Symmetry-distinct sites (fractional):
1 Rb 0.2405 0.2500 0.4453
2 U 0.2628 0.2500 0.9474
3 Be 0.2783 0.7500 0.1565
4 S 0.0595 0.7500 0.9259
5 S 0.0888 0.7500 0.3082
6 S 0.4875 0.5033 0.8073

Output
* formation energy from raw total energies: -1212 meV/atom